Material: Dy3Ho2Cd2
Method: DFT, PBE-GGA
State: relaxed

a b c (Å): 5.3600 5.3600 23.7706
angles (deg): 90.00 90.00 120.00
Space group R-3m (No. 166, hexagonal axes)
Asymmetric unit:
Dy  0.0000  0.0000  0.0000 (multiplicity 3)
Dy  0.0000  0.0000  0.1564 (multiplicity 6)
Ho  0.0000  0.0000  0.4257 (multiplicity 6)
Cd  0.0000  0.0000  0.2882 (multiplicity 6)

Material: MgSnF2
Method: DFT, PBE-GGA
State: relaxed

Summary:
Formation energy without anion corrections ... -2.169 eV/atom

a b c (Å): 5.976 5.976 8.904
angles (deg): 90.00 90.00 90.00
Space group I-42d (No. 122)
Asymmetric unit:
Mg  0.000  0.000  0.000 (multiplicity 4)
Sn  0.000  0.000  0.500 (multiplicity 4)
F  0.015  0.250  0.125 (multiplicity 8)

Material: Sm2TmIn2Ag2
Method: DFT, PBE-GGA
State: relaxed

a b c (Å): 4.8374 4.8374 27.1160
angles (deg): 90.00 90.00 120.00
Space group R-3m (No. 166, hexagonal axes)
Asymmetric unit:
Sm  0.0000  0.0000  0.1253 (multiplicity 6)
Tm  0.0000  0.0000  0.0000 (multiplicity 3)
In  0.0000  0.0000  0.2634 (multiplicity 6)
Ag  0.0000  0.0000  0.3899 (multiplicity 6)

Material: PrLuS3
Method: DFT, PBE-GGA
State: relaxed

Summary:
Formation energy without anion corrections ... -2.079 eV/atom

a b c (Å): 3.894 12.609 9.526
angles (deg): 90.00 90.00 90.00
Space group Cmcm (No. 63)
Asymmetric unit:
Pr  0.000  0.247  0.250 (multiplicity 4)
Lu  0.000  0.500  0.000 (multiplicity 4)
S  0.000  0.141  0.562 (multiplicity 8)
S  0.000  0.415  0.750 (multiplicity 4)

no.,DFT total energy (eV for the cell shown)
1,-77.60
2,-72.07
3,-81.13
4,-128.31